(1)
DFT (PBE) results for a relaxed structure of ScH6W.

Geometry as POSCAR:
```
ScH6W
1.0
4.6149 0.0000 0.0000
1.9237 4.7662 0.0000
1.5261 2.1462 6.2395
Sc H W
2 12 2
direct
0.0000 0.0000 0.0000 Sc
0.0000 0.0000 0.5000 Sc
0.0939 0.3796 0.3790 H
0.1910 0.5691 0.9756 H
0.2531 0.7025 0.2573 H
0.2728 0.0109 0.7121 H
0.2784 0.1000 0.1889 H
0.3835 0.6375 0.5953 H
0.6165 0.3625 0.4047 H
0.7216 0.9000 0.8111 H
0.7272 0.9891 0.2879 H
0.7469 0.2975 0.7427 H
0.8090 0.4309 0.0244 H
0.9061 0.6204 0.6210 H
0.4410 0.3574 0.2012 W
0.5590 0.6426 0.7988 W
```

Properties
Its crystal system is triclinic. As for the magnetization: 0.0000 μB/atom. The value obtained for the density is 5.7 g cm⁻³. As for the total energy: -80.24 eV for the cell shown.



(2)
DFT (PBE) results for a relaxed structure of Sc2HW2.

Geometry as POSCAR:
```
Sc2HW2
1.0
5.6224 0.0000 0.0000
0.0000 5.6224 0.0000
0.0000 0.0000 5.0697
Sc H W
4 2 4
direct
0.1653 0.3347 0.0000 Sc
0.3347 0.8347 0.0000 Sc
0.6653 0.1653 0.0000 Sc
0.8347 0.6653 0.0000 Sc
0.0000 0.0000 0.5000 H
0.5000 0.5000 0.5000 H
0.1621 0.6621 0.5000 W
0.3379 0.1621 0.5000 W
0.6621 0.8379 0.5000 W
0.8379 0.3379 0.5000 W
```

Properties
Its crystal system is tetragonal. For the energy above the most stable polymorph in this dataset, the calculation gives 0 meV/atom. As for the magnetization: 0.0000 μB/atom. The value obtained for the density is 9.5 g cm⁻³. As for the total energy: -77.84 eV for the cell shown.